No. 1
## Rb2TbHBr6 (PBE)

Data for a relaxed structure of Rb2TbHBr6. Values from VASP.

## Properties
The symmetry is No. 2. As for the electronic total energy: -3.472 eV/atom.

Structure (Quantum ESPRESSO input):
```
&SYSTEM
  ibrav = 0, nat = 10, ntyp = 4
/
ATOMIC_SPECIES
Rb 85.47 Rb.upf
Tb 158.93 Tb.upf
H 1.01 H.upf
Br 79.90 Br.upf
CELL_PARAMETERS angstrom
7.0974 0.0000 0.0000
-2.6229 7.6701 0.0000
-1.6491 -4.1372 6.8071
ATOMIC_POSITIONS crystal
Rb 0.1697 0.2238 0.4109
Rb 0.8303 0.7762 0.5891
Tb 0.0000 0.5000 0.0000
H 0.5000 0.0000 0.0000
Br 0.2183 0.2822 0.8583
Br 0.2582 0.8814 0.0113
Br 0.2614 0.6569 0.3906
Br 0.7386 0.3431 0.6094
Br 0.7418 0.1186 0.9887
Br 0.7817 0.7178 0.1417
```

No. 2
## AcPdAu2 (PBE)

Data for a relaxed structure of AcPdAu2. Values from VASP.

## Properties
The calculation puts the energy above the most stable polymorph in this dataset at 186.2 meV per atom. The symmetry is No. 225. The formation energy comes out at -0.56 eV/atom.

Structure (Quantum ESPRESSO input):
```
&SYSTEM
  ibrav = 0, nat = 4, ntyp = 3
/
ATOMIC_SPECIES
Ac 227.00 Ac.upf
Pd 106.42 Pd.upf
Au 196.97 Au.upf
CELL_PARAMETERS angstrom
0.0000 3.6162 3.6162
3.6162 0.0000 3.6162
3.6162 3.6162 0.0000
ATOMIC_POSITIONS crystal
Ac 0.0000 0.0000 0.0000
Pd 0.5000 0.5000 0.5000
Au 0.2500 0.2500 0.2500
Au 0.7500 0.7500 0.7500
```

No. 3
## RbNb4S8 (PBE)

Data for a relaxed structure of RbNb4S8. Values from VASP.

## Properties
The calculation puts the energy above the most stable polymorph in this dataset at 0.0 meV per atom. The symmetry is No. 12. As for the formation energy from raw total energies: -1.0258 eV/atom.

Structure (Quantum ESPRESSO input):
```
&SYSTEM
  ibrav = 0, nat = 13, ntyp = 3
/
ATOMIC_SPECIES
Rb 85.47 Rb.upf
Nb 92.91 Nb.upf
S 32.06 S.upf
CELL_PARAMETERS angstrom
8.7268 -1.6965 0.0000
8.7268 1.6965 0.0000
-7.9623 0.0000 9.1320
ATOMIC_POSITIONS crystal
Rb 0.0000 0.0000 0.0000
Nb 0.1580 0.1580 0.4780
Nb 0.3284 0.3284 0.1529
Nb 0.6716 0.6716 0.8471
Nb 0.8420 0.8420 0.5220
S 0.0363 0.0363 0.7293
S 0.3052 0.3052 0.9288
S 0.3436 0.3436 0.6777
S 0.3596 0.3596 0.3942
S 0.6404 0.6404 0.6058
S 0.6564 0.6564 0.3223
S 0.6948 0.6948 0.0712
S 0.9637 0.9637 0.2707
```

No. 4
## Ac4Rh2Br (PBE)

Data for a relaxed structure of Ac4Rh2Br. Values from VASP.

## Properties
The symmetry is No. 166. As for the formation energy from raw total energies: -0.8953 eV/atom.

Structure (Quantum ESPRESSO input):
```
&SYSTEM
  ibrav = 0, nat = 7, ntyp = 3
/
ATOMIC_SPECIES
Ac 227.00 Ac.upf
Rh 102.91 Rh.upf
Br 79.90 Br.upf
CELL_PARAMETERS angstrom
2.1757 1.2561 15.2784
-2.1757 1.2561 15.2784
0.0000 -2.5123 15.2784
ATOMIC_POSITIONS crystal
Ac 0.1249 0.1249 0.1249
Ac 0.2780 0.2780 0.2780
Ac 0.7220 0.7220 0.7220
Ac 0.8751 0.8751 0.8751
Rh 0.4237 0.4237 0.4237
Rh 0.5763 0.5763 0.5763
Br 0.0000 0.0000 0.0000
```